Record 1
Y2Be2ZnPt5 | PBE | optimized geometry

Lattice parameters (Å, degrees): 9.508 9.508 3.513 90.00 90.00 90.00
Space group P4/mbm (No. 127)
Asymmetric unit:
Y  0.178  0.322  0.000 [4 per cell]
Be  0.119  0.619  0.000 [4 per cell]
Zn  0.000  0.000  0.000 [2 per cell]
Pt  0.000  0.500  0.500 [2 per cell]
Pt  0.067  0.787  0.500 [8 per cell]

ΔE_f in kJ/mol of atoms: -92.5
Crystal system: tetragonal

=====

Record 2
Be2ZnPt | PBE | optimized geometry

Lattice parameters (Å, degrees): 2.7500 2.7500 22.8322 90.00 90.00 120.00
Space group R-3m (No. 166, hexagonal axes)
Asymmetric unit:
Be  0.0000  0.0000  0.2458 [6 per cell]
Zn  0.0000  0.0000  0.0000 [3 per cell]
Pt  0.0000  0.0000  0.5000 [3 per cell]

ΔE_f in kJ/mol of atoms: -6.1
Crystal system: trigonal

=====

Record 3
Be2ZnPt | PBE | optimized geometry

Lattice parameters (Å, degrees): 2.801 3.011 5.493 90.00 90.00 90.00
Space group Pmmm (No. 47)
Asymmetric unit:
Be  0.000  0.000  0.239 [2 per cell]
Zn  0.500  0.500  0.500 [1 per cell]
Pt  0.500  0.500  0.000 [1 per cell]

ΔE_f in kJ/mol of atoms: -32.4
Crystal system: orthorhombic

=====

Record 4
BeZnPt | PBE | optimized geometry

Lattice parameters (Å, degrees): 5.462 5.462 5.462 90.00 90.00 90.00
Space group F-43m (No. 216)
Asymmetric unit:
Be  0.000  0.000  0.000 [4 per cell]
Zn  0.250  0.250  0.750 [4 per cell]
Pt  0.250  0.250  0.250 [4 per cell]

ΔE_f in kJ/mol of atoms: -36.2
ΔE to the lowest computed polymorph in meV per atom: 145
Crystal system: cubic

=====

Record 5
BeZn2Pt2 | PBE | optimized geometry

Lattice parameters (Å, degrees): 5.981 5.981 4.089 90.00 90.00 90.00
Space group P4/mbm (No. 127)
Asymmetric unit:
Be  0.000  0.000  0.000 [2 per cell]
Zn  0.156  0.344  0.500 [4 per cell]
Pt  0.158  0.658  0.000 [4 per cell]

ΔE_f in kJ/mol of atoms: -45.0
ΔE to the lowest computed polymorph in meV per atom: 0
Crystal system: tetragonal

=====

Record 6
BeZnPt | PBE | optimized geometry

Lattice parameters (Å, degrees): 2.980 2.980 8.668 90.00 90.00 90.00
Space group I4mm (No. 107)
Asymmetric unit:
Be  0.000  0.000  0.000 [2 per cell]
Zn  0.000  0.000  0.678 [2 per cell]
Pt  0.000  0.000  0.375 [2 per cell]

ΔE_f in kJ/mol of atoms: -41.7
ΔE to the lowest computed polymorph in meV per atom: 88
Crystal system: tetragonal

=====

Q: Look up the ΔE_f of the third one.
A: -32.4 kJ/mol of atoms

=====

Q: Among the records above, which one has the highest ΔE_f?
A: number 2